1.
Computed, not measured: a geometry-optimized NdEr3Tl2 structure at the PBE level of DFT.

## Properties
**Energy relative to the elements**: -0.262 eV/atom
**Space group**: Pmc2_1
**Calculated total energy**: -49.520 eV/cell
**Excess energy over the best structure of this formula in the dataset**: 0 meV/atom
**Density**: 10.06 g cm⁻³
**Magnetic moment**: 0.0 μB/f.u.

The structure in POSCAR format:
```
NdEr3Tl2
1.0
5.112 0.000 0.000
0.000 6.818 0.000
0.000 0.000 9.994
Tl Er Nd
4 6 2
Direct
0.000 0.787 0.361
0.500 0.709 0.868
0.000 0.287 0.639
0.500 0.209 0.132
0.000 0.456 0.956
0.500 0.669 0.182
0.000 0.329 0.306
0.500 0.169 0.818
0.000 0.829 0.694
0.000 0.956 0.044
0.500 0.550 0.543
0.500 0.050 0.457
```



2.
Computed, not measured: a geometry-optimized Nd2Er2Tl7 structure at the PBE level of DFT.

## Properties
**Energy relative to the elements**: 0.060 eV/atom
**Space group**: Cmmm
**Calculated total energy**: -34.563 eV/cell
**Density**: 9.44 g cm⁻³
**Magnetic moment**: 0.0 μB/f.u.

The structure in POSCAR format:
```
Nd2Er2Tl7
1.0
-5.564 4.014 2.123
-0.744 -4.094 5.788
5.449 3.461 3.149
Tl Er Nd
7 2 2
Direct
0.500 0.715 0.500
0.000 0.719 0.500
0.500 0.285 0.500
0.500 0.281 0.000
0.500 0.719 0.000
0.000 0.000 0.000
0.000 0.281 0.500
0.712 0.000 0.288
0.288 0.000 0.712
0.814 0.500 0.814
0.186 0.500 0.186
```



3.
Computed, not measured: a geometry-optimized Nd2ErTl3 structure at the PBE level of DFT.

## Properties
**Energy relative to the elements**: -0.371 eV/atom
**Space group**: P4/mmm
**Calculated total energy**: -23.425 eV/cell
**Excess energy over the best structure of this formula in the dataset**: 0 meV/atom
**Density**: 10.28 g cm⁻³
**Magnetic moment**: 0.0 μB/f.u.

The structure in POSCAR format:
```
Nd2ErTl3
1.0
3.817 0.000 0.000
0.000 3.817 0.000
0.000 0.000 11.844
Tl Nd Er
3 2 1
Direct
0.000 0.000 0.346
0.000 0.000 0.000
0.000 0.000 0.654
0.500 0.500 0.827
0.500 0.500 0.173
0.500 0.500 0.500
```



4.
Computed, not measured: a geometry-optimized NdErTl2 structure at the PBE level of DFT.

## Properties
**Energy relative to the elements**: -0.349 eV/atom
**Space group**: Fm-3m
**Calculated total energy**: -15.458 eV/cell
**Excess energy over the best structure of this formula in the dataset**: 11 meV/atom
**Density**: 10.56 g cm⁻³
**Magnetic moment**: 0.0 μB/f.u.

The structure in POSCAR format:
```
NdErTl2
1.0
-1.784 5.036 0.975
-5.333 1.024 0.080
-2.476 1.142 4.697
Nd Er Tl
1 1 2
Direct
0.000 0.000 0.000
0.500 0.500 0.500
0.250 0.250 0.250
0.750 0.750 0.750
```



5.
Computed, not measured: a geometry-optimized Nd2Er3Tl2 structure at the PBE level of DFT.

## Properties
**Energy relative to the elements**: -0.161 eV/atom
**Space group**: C2/m
**Calculated total energy**: -29.087 eV/cell
**Density**: 9.26 g cm⁻³
**Magnetic moment**: 0.0 μB/f.u.

The structure in POSCAR format:
```
Nd2Er3Tl2
1.0
4.896 0.000 0.000
-2.448 5.469 -0.036
0.000 -2.549 8.044
Tl Er Nd
2 3 2
Direct
0.184 0.368 0.186
0.816 0.632 0.814
0.363 0.726 0.561
0.637 0.274 0.439
0.500 0.000 0.000
0.888 0.775 0.234
0.112 0.225 0.766
```



6.
Computed, not measured: a geometry-optimized NdEr6Tl6 structure at the PBE level of DFT.

## Properties
**Energy relative to the elements**: -0.135 eV/atom
**Space group**: P6/mmm
**Calculated total energy**: -48.095 eV/cell
**Density**: 9.97 g cm⁻³
**Magnetic moment**: 0.0 μB/f.u.

The structure in POSCAR format:
```
NdEr6Tl6
1.0
6.796 -0.001 0.000
-3.398 5.886 0.000
0.000 0.000 9.890
Tl Er Nd
6 6 1
Direct
0.667 0.333 0.500
0.333 0.667 0.500
0.000 0.000 0.681
0.000 0.000 0.319
0.333 0.667 0.000
0.667 0.333 0.000
0.000 0.500 0.755
0.500 0.500 0.245
0.500 0.500 0.755
0.000 0.500 0.245
0.500 0.000 0.755
0.500 0.000 0.245
0.000 0.000 0.000
```



7.
Computed, not measured: a geometry-optimized NdEr8Tl6 structure at the PBE level of DFT.

## Properties
**Energy relative to the elements**: -0.119 eV/atom
**Space group**: R-3
**Calculated total energy**: -57.246 eV/cell
**Density**: 9.74 g cm⁻³
**Magnetic moment**: 0.0 μB/f.u.

The structure in POSCAR format:
```
NdEr8Tl6
1.0
9.068 0.000 0.000
4.534 7.853 0.000
4.534 2.618 6.486
Tl Er Nd
6 8 1
Direct
0.595 0.935 0.195
0.935 0.275 0.195
0.405 0.065 0.805
0.275 0.595 0.195
0.065 0.725 0.805
0.725 0.405 0.805
0.333 0.333 0.002
0.441 0.778 0.671
0.111 0.441 0.671
0.889 0.559 0.329
0.559 0.222 0.329
0.222 0.889 0.329
0.778 0.111 0.671
0.667 0.667 0.998
0.000 0.000 0.000
```



8.
Computed, not measured: a geometry-optimized Nd3Er2Tl4 structure at the PBE level of DFT.

## Properties
**Energy relative to the elements**: -0.295 eV/atom
**Space group**: P-3m1
**Calculated total energy**: -35.546 eV/cell
**Excess energy over the best structure of this formula in the dataset**: 0 meV/atom
**Density**: 9.98 g cm⁻³
**Magnetic moment**: 0.0 μB/f.u.

The structure in POSCAR format:
```
Nd3Er2Tl4
1.0
5.383 0.000 0.000
2.691 4.627 0.588
0.000 -1.316 10.417
Tl Nd Er
4 3 2
Direct
0.000 0.000 0.342
0.333 0.334 0.102
0.000 0.000 0.658
0.667 0.666 0.898
0.000 0.000 0.000
0.333 0.333 0.420
0.667 0.667 0.580
0.667 0.667 0.221
0.333 0.333 0.779
```



9.
Computed, not measured: a geometry-optimized Nd2Er2Tl3 structure at the PBE level of DFT.

## Properties
**Energy relative to the elements**: -0.226 eV/atom
**Space group**: Cmmm
**Calculated total energy**: -27.343 eV/cell
**Excess energy over the best structure of this formula in the dataset**: 16 meV/atom
**Density**: 9.87 g cm⁻³
**Magnetic moment**: 0.0 μB/f.u.

The structure in POSCAR format:
```
Nd2Er2Tl3
1.0
3.508 0.000 0.465
0.000 3.611 0.000
-0.387 0.000 16.361
Tl Er Nd
3 2 2
Direct
0.860 0.000 0.280
0.000 0.000 0.000
0.140 0.000 0.720
0.297 0.500 0.406
0.703 0.500 0.594
0.430 0.500 0.140
0.570 0.500 0.860
```



10.
Computed, not measured: a geometry-optimized NdEr3Tl4 structure at the PBE level of DFT.

## Properties
**Energy relative to the elements**: -0.329 eV/atom
**Space group**: P4/mmm
**Calculated total energy**: -61.106 eV/cell
**Excess energy over the best structure of this formula in the dataset**: 0 meV/atom
**Density**: 11.03 g cm⁻³
**Magnetic moment**: 0.0 μB/f.u.

The structure in POSCAR format:
```
NdEr3Tl4
1.0
-2.702 2.106 4.174
-2.660 -6.856 1.737
8.545 -1.697 6.387
Tl Nd Er
8 2 6
Direct
0.500 0.243 0.500
0.500 0.757 0.000
0.000 0.757 0.750
0.500 0.243 0.000
0.000 0.757 0.250
0.500 0.757 0.500
0.000 0.243 0.750
0.000 0.243 0.250
0.000 0.500 0.500
0.000 0.500 0.000
0.000 0.000 0.500
0.500 0.500 0.750
0.000 0.000 0.000
0.500 0.500 0.250
0.500 0.000 0.250
0.500 0.000 0.750
```



11.
Computed, not measured: a geometry-optimized Nd3Er12Tl structure at the PBE level of DFT.

## Properties
**Energy relative to the elements**: -0.016 eV/atom
**Space group**: P4/mmm
**Calculated total energy**: -71.684 eV/cell
**Density**: 8.92 g cm⁻³
**Magnetic moment**: 0.0 μB/f.u.

The structure in POSCAR format:
```
Nd3Er12Tl
1.0
4.952 0.000 0.000
0.000 4.952 0.000
0.000 0.000 20.082
Er Tl Nd
12 1 3
Direct
0.500 0.500 0.243
0.000 0.500 0.373
0.500 0.000 0.880
0.500 0.500 0.500
0.500 0.000 0.373
0.000 0.500 0.120
0.000 0.500 0.880
0.500 0.500 0.757
0.000 0.500 0.627
0.500 0.500 0.000
0.500 0.000 0.120
0.500 0.000 0.627
0.000 0.000 0.000
0.000 0.000 0.248
0.000 0.000 0.500
0.000 0.000 0.752
```



12.
Computed, not measured: a geometry-optimized Nd12ErTl7 structure at the PBE level of DFT.

## Properties
**Energy relative to the elements**: -0.032 eV/atom
**Space group**: R-3
**Calculated total energy**: -78.989 eV/cell
**Density**: 8.16 g cm⁻³
**Magnetic moment**: 0.0 μB/f.u.

The structure in POSCAR format:
```
Nd12ErTl7
1.0
8.950 0.381 0.572
-2.123 8.703 0.572
-2.123 -2.824 8.252
Nd Tl Er
12 7 1
Direct
0.622 0.560 0.875
0.680 0.817 0.280
0.280 0.680 0.817
0.560 0.875 0.622
0.720 0.320 0.183
0.125 0.378 0.440
0.875 0.622 0.560
0.183 0.720 0.320
0.440 0.125 0.378
0.378 0.440 0.125
0.817 0.280 0.680
0.320 0.183 0.720
0.018 0.351 0.040
0.649 0.960 0.982
0.982 0.649 0.960
0.351 0.040 0.018
0.040 0.018 0.351
0.500 0.500 0.500
0.960 0.982 0.649
0.000 0.000 0.000
```



13.
Computed, not measured: a geometry-optimized Nd5Er6Tl structure at the PBE level of DFT.

## Properties
**Energy relative to the elements**: -0.021 eV/atom
**Space group**: Immm
**Calculated total energy**: -53.839 eV/cell
**Density**: 8.43 g cm⁻³
**Magnetic moment**: 0.0 μB/f.u.

The structure in POSCAR format:
```
Nd5Er6Tl
1.0
-4.009 -1.239 2.742
4.302 -8.123 -1.961
5.675 4.693 5.839
Nd Er Tl
5 6 1
Direct
0.500 0.832 0.168
0.000 0.663 0.337
0.000 0.337 0.663
0.500 0.168 0.832
0.500 0.500 0.500
0.754 0.589 0.919
0.246 0.081 0.411
0.255 0.755 0.755
0.754 0.919 0.589
0.745 0.245 0.245
0.246 0.411 0.081
0.000 0.000 0.000
```



14.
Computed, not measured: a geometry-optimized Nd3ErTl3 structure at the PBE level of DFT.

## Properties
**Energy relative to the elements**: -0.206 eV/atom
**Space group**: C2/m
**Calculated total energy**: -54.814 eV/cell
**Excess energy over the best structure of this formula in the dataset**: 62 meV/atom
**Density**: 9.08 g cm⁻³
**Magnetic moment**: 0.0 μB/f.u.

The structure in POSCAR format:
```
Nd3ErTl3
1.0
6.830 0.722 0.249
-2.397 6.436 0.249
-0.453 -0.732 9.661
Tl Nd Er
6 6 2
Direct
0.053 0.478 0.263
0.947 0.522 0.737
0.033 0.033 0.771
0.522 0.947 0.737
0.967 0.967 0.229
0.478 0.053 0.263
0.820 0.180 0.500
0.592 0.592 0.316
0.408 0.408 0.684
0.242 0.758 0.000
0.758 0.242 0.000
0.180 0.820 0.500
0.277 0.277 0.044
0.723 0.723 0.956
```



15.
Computed, not measured: a geometry-optimized NdEr3Tl3 structure at the PBE level of DFT.

## Properties
**Energy relative to the elements**: -0.246 eV/atom
**Space group**: P6_3/m
**Calculated total energy**: -54.556 eV/cell
**Excess energy over the best structure of this formula in the dataset**: 0 meV/atom
**Density**: 10.38 g cm⁻³
**Magnetic moment**: 0.0 μB/f.u.

The structure in POSCAR format:
```
NdEr3Tl3
1.0
-5.064 1.212 -0.468
-0.257 -4.315 -8.385
-1.890 -4.856 7.864
Nd Tl Er
2 6 6
Direct
0.750 0.333 0.667
0.250 0.667 0.333
0.250 0.552 0.928
0.750 0.624 0.552
0.250 0.376 0.448
0.750 0.448 0.072
0.250 0.072 0.624
0.750 0.928 0.376
0.750 0.229 0.230
0.250 0.999 0.229
0.750 0.001 0.771
0.250 0.771 0.770
0.250 0.230 0.001
0.750 0.770 0.999
```



16.
Computed, not measured: a geometry-optimized Nd2Er5Tl structure at the PBE level of DFT.

## Properties
**Energy relative to the elements**: -0.057 eV/atom
**Space group**: I4/mmm
**Calculated total energy**: -35.173 eV/cell
**Excess energy over the best structure of this formula in the dataset**: 7 meV/atom
**Density**: 9.05 g cm⁻³
**Magnetic moment**: 0.1 μB/f.u.

The structure in POSCAR format:
```
Nd2Er5Tl
1.0
0.224 -0.357 -4.883
4.888 -0.272 0.244
-3.153 -9.792 3.031
Nd Er Tl
2 5 1
Direct
0.743 0.743 0.487
0.257 0.257 0.513
0.381 0.881 0.761
0.881 0.381 0.761
0.619 0.119 0.239
0.119 0.619 0.239
0.500 0.500 0.000
0.000 0.000 0.000
```



17.
Computed, not measured: a geometry-optimized Nd2Er4Tl structure at the PBE level of DFT.

## Properties
**Energy relative to the elements**: 0.000 eV/atom
**Space group**: P2_1/m
**Calculated total energy**: -60.301 eV/cell
**Excess energy over the best structure of this formula in the dataset**: 18 meV/atom
**Density**: 8.88 g cm⁻³
**Magnetic moment**: 0.0 μB/f.u.

The structure in POSCAR format:
```
Nd2Er4Tl
1.0
-0.445 3.996 4.275
3.973 -3.686 3.858
9.127 3.172 -6.369
Nd Er Tl
4 8 2
Direct
0.268 0.250 0.430
0.425 0.250 0.976
0.732 0.750 0.570
0.575 0.750 0.024
0.142 0.750 0.431
0.627 0.492 0.288
0.627 0.008 0.288
0.987 0.750 0.868
0.013 0.250 0.132
0.858 0.250 0.569
0.373 0.508 0.712
0.373 0.992 0.712
0.860 0.250 0.839
0.140 0.750 0.161
```



18.
Computed, not measured: a geometry-optimized NdEr3Tl3 structure at the PBE level of DFT.

## Properties
**Energy relative to the elements**: -0.239 eV/atom
**Space group**: P2_13
**Calculated total energy**: -108.902 eV/cell
**Excess energy over the best structure of this formula in the dataset**: 8 meV/atom
**Density**: 10.22 g cm⁻³
**Magnetic moment**: 0.0 μB/f.u.

The structure in POSCAR format:
```
NdEr3Tl3
1.0
9.354 0.000 0.000
0.000 9.354 0.000
0.000 0.000 9.354
Tl Er Nd
12 12 4
Direct
0.235 0.886 0.999
0.386 0.501 0.765
0.765 0.386 0.501
0.265 0.114 0.499
0.501 0.765 0.386
0.114 0.499 0.265
0.735 0.614 0.001
0.999 0.235 0.886
0.614 0.001 0.735
0.499 0.265 0.114
0.886 0.999 0.235
0.001 0.735 0.614
0.322 0.178 0.822
0.182 0.182 0.182
0.087 0.413 0.587
0.678 0.678 0.678
0.178 0.822 0.322
0.318 0.818 0.682
0.587 0.087 0.413
0.913 0.913 0.913
0.682 0.318 0.818
0.413 0.587 0.087
0.818 0.682 0.318
0.822 0.322 0.178
0.567 0.933 0.067
0.067 0.567 0.933
0.433 0.433 0.433
0.933 0.067 0.567
```



19.
Computed, not measured: a geometry-optimized NdEr2Tl3 structure at the PBE level of DFT.

## Properties
**Energy relative to the elements**: -0.344 eV/atom
**Space group**: P4/mmm
**Calculated total energy**: -23.058 eV/cell
**Density**: 10.91 g cm⁻³
**Magnetic moment**: 0.0 μB/f.u.

The structure in POSCAR format:
```
NdEr2Tl3
1.0
3.770 0.000 0.000
0.000 3.770 0.000
0.000 0.000 11.693
Er Tl Nd
2 3 1
Direct
0.500 0.500 0.161
0.500 0.500 0.839
0.000 0.000 0.679
0.000 0.000 0.321
0.000 0.000 0.000
0.500 0.500 0.500
```



20.
Computed, not measured: a geometry-optimized Nd5ErTl3 structure at the PBE level of DFT.

## Properties
**Energy relative to the elements**: -0.263 eV/atom
**Space group**: P6_3/mcm
**Calculated total energy**: -75.731 eV/cell
**Density**: 9.03 g cm⁻³
**Magnetic moment**: 1.6 μB/f.u.

The structure in POSCAR format:
```
Nd5ErTl3
1.0
-4.114 -4.830 -2.731
4.168 1.292 -8.564
3.541 -6.487 6.139
Nd Tl Er
10 6 2
Direct
0.500 0.333 0.667
0.250 0.000 0.661
0.250 0.661 0.000
0.750 0.000 0.339
0.000 0.667 0.333
0.750 0.661 0.661
0.000 0.333 0.667
0.750 0.339 0.000
0.500 0.667 0.333
0.250 0.339 0.339
0.750 0.324 0.324
0.250 0.324 0.000
0.750 0.676 0.000
0.250 0.676 0.676
0.750 0.000 0.676
0.250 0.000 0.324
0.000 0.000 0.000
0.500 0.000 0.000
```